A relaxed NpPa2Si7Rh2 crystal, computed with PBE.

a b c (Å): 5.6475 5.7423 13.2240
angles (deg): 90.00 97.12 90.00
Space group C2/m (No. 12)
Symmetry-distinct sites (fractional):
Np1 0.0000 0.0000 0.0000
Pa1 0.1026 0.0000 0.3435
Si1 0.0000 0.5000 0.0000
Si2 0.1639 0.5000 0.4539
Si3 0.2040 0.2484 0.8398
Rh1 0.0770 0.5000 0.2762

Calculated values
As for the raw formation energy: -44 kJ per mole of atoms.